PBE with a Hubbard U ZrMoOF2, relaxed; ρ = 5.12 Mg/m³; E above lowest polymorph = 3.99 eV/f.u.; DFT total energy = -5.96 eV per atom
1.0
4.315 0.000 0.000
0.000 4.315 0.000
0.000 0.000 4.205
F Zr O Mo
2 1 1 1
direct
0.500 0.000 0.000
0.000 0.500 0.000
0.500 0.500 0.500
0.000 0.000 0.500
0.000 0.000 0.000